No. 1
MgAl2C: optimized geometry, GGA-PBE.

Cell: 4.446 4.446 4.446 Å, 60.00 60.00 60.00°
Fractional coordinates of all 4 atoms:
Al: 0.250 0.250 0.250
Al: 0.750 0.750 0.750
C: 0.000 0.000 0.000
Mg: 0.500 0.500 0.500

Results
The formation energy is 1.26 eV/atom.

***

No. 2
Fe2BiSb2: optimized geometry, GGA-PBE.

Cell: 4.255 4.255 6.289 Å, 70.23 70.23 90.00°
Fractional coordinates of all 5 atoms:
Sb: 0.250 0.750 0.500
Sb: 0.750 0.250 0.500
Fe: 0.610 0.610 0.781
Fe: 0.390 0.390 0.219
Bi: 0.000 0.000 0.000

Results
The value obtained for the uncorrected formation energy is 515 meV/atom.

***

No. 3
Te2Pt2Br: optimized geometry, GGA-PBE.

Cell: 3.972 3.972 8.273 Å, 76.11 76.11 90.00°
Fractional coordinates of all 5 atoms:
Pt: 0.750 0.250 0.500
Pt: 0.250 0.750 0.500
Te: 0.631 0.631 0.737
Te: 0.369 0.369 0.263
Br: 0.000 0.000 0.000

Results
The value obtained for the uncorrected formation energy is -223 meV/atom. For the excess energy over the best structure of this formula in the dataset, the calculation gives 0.0 meV per atom.

***

No. 4
Er2ScAg: optimized geometry, GGA-PBE.

Cell: 3.454 3.454 10.307 Å, 80.35 80.35 60.00°
Fractional coordinates of all 4 atoms:
Sc: 0.500 0.500 0.500
Er: 0.079 0.079 0.764
Er: 0.254 0.254 0.237
Ag: 0.667 0.667 0.000

Results
For the excess energy over the best structure of this formula in the dataset, the calculation gives 113.6 meV per atom. The formation energy is -0.01 eV/atom.

***

No. 5
Ca2ScPt: optimized geometry, GGA-PBE.

Cell: 6.508 6.508 5.437 Å, 65.32 65.32 32.06°
Fractional coordinates of all 4 atoms:
Pt: 0.516 0.516 0.484
Ca: 0.998 0.998 0.002
Ca: 0.805 0.805 0.695
Sc: 0.182 0.182 0.318

Results
For the excess energy over the best structure of this formula in the dataset, the calculation gives 74.0 meV per atom. The formation energy is -0.48 eV/atom.

***

No. 6
CrSb2TeRu: optimized geometry, GGA-PBE.

Cell: 4.961 4.961 5.749 Å, 90.00 90.00 90.00°
Each line ends with the local moment (μB).
Fractional coordinates of all 5 atoms:
Ru: 0.000 0.000 0.000  0.01
Cr: 0.500 0.500 0.500  4.12
Sb: 0.500 0.000 0.000  -0.04
Sb: 0.000 0.500 0.000  -0.04
Te: 0.000 0.000 0.500  -0.14

Results
The value obtained for the uncorrected formation energy is 690 meV/atom. For the excess energy over the best structure of this formula in the dataset, the calculation gives 0.0 meV per atom.

***

No. 7
NaCdIn2Rh: optimized geometry, GGA-PBE.

Cell: 5.133 5.133 5.285 Å, 90.00 90.00 90.00°
Fractional coordinates of all 5 atoms:
In: 0.500 0.000 0.000
In: 0.000 0.500 0.000
Cd: 0.000 0.000 0.500
Rh: 0.000 0.000 0.000
Na: 0.500 0.500 0.500

Results
The formation energy is -0.16 eV/atom.

***

No. 8
LaSc2P2: optimized geometry, GGA-PBE.

Cell: 4.145 4.145 6.926 Å, 72.59 72.59 90.00°
Each line ends with the local moment (μB).
Fractional coordinates of all 5 atoms:
La: 0.000 0.000 0.000  0.02
P: 0.618 0.618 0.765  -0.02
P: 0.382 0.382 0.235  -0.02
Sc: 0.750 0.250 0.500  0.23
Sc: 0.250 0.750 0.500  0.23

Results
For the excess energy over the best structure of this formula in the dataset, the calculation gives 0.0 meV per atom. The formation energy is -1.12 eV/atom.

***

No. 9
SrAlAg2Hg: optimized geometry, GGA-PBE.

Cell: 4.373 4.365 7.046 Å, 108.04 108.08 90.00°
Fractional coordinates of all 5 atoms:
Ag: 0.056 0.056 0.113
Ag: 0.690 0.190 0.380
Hg: 0.833 0.833 0.666
Al: 0.186 0.686 0.372
Sr: 0.447 0.447 0.893

Results
For the excess energy over the best structure of this formula in the dataset, the calculation gives 0.0 meV per atom. The formation energy is -0.21 eV/atom.

***

No. 10
UH2Cl8: optimized geometry, GGA-PBE.

Cell: 7.563 7.519 7.519 Å, 61.32 87.73 87.73°
Each line ends with the local moment (μB).
Fractional coordinates of all 11 atoms:
H: 0.313 0.728 0.728  0.00
H: 0.687 0.272 0.272  0.00
Cl: 0.588 0.356 0.356  0.07
Cl: 0.412 0.644 0.644  0.07
Cl: 0.736 0.895 0.895  0.01
Cl: 0.136 0.114 0.659  0.01
Cl: 0.864 0.886 0.341  0.01
Cl: 0.136 0.659 0.114  0.01
Cl: 0.264 0.105 0.105  0.01
Cl: 0.864 0.341 0.886  0.01
U: 0.000 0.000 0.000  -0.01

Results
The calculation puts the total energy at -4.105 eV per atom.

***

No. 11
Ac3Er2Sn3: optimized geometry, GGA-PBE.

Cell: 6.819 9.556 9.556 Å, 120.00 90.00 90.00°
Fractional coordinates of all 16 atoms:
Sn: 0.750 0.401 0.401
Sn: 0.750 0.000 0.599
Sn: 0.250 0.000 0.401
Sn: 0.250 0.599 0.599
Sn: 0.250 0.401 0.000
Sn: 0.750 0.599 0.000
Ac: 0.750 0.000 0.247
Ac: 0.250 0.753 0.000
Ac: 0.750 0.753 0.753
Ac: 0.250 0.247 0.247
Ac: 0.750 0.247 0.000
Ac: 0.250 0.000 0.753
Er: 0.000 0.333 0.667
Er: 0.000 0.667 0.333
Er: 0.500 0.667 0.333
Er: 0.500 0.333 0.667

Results
The formation energy is -0.62 eV/atom.

***

No. 12
PaSnMoRh: optimized geometry, GGA-PBE.

Cell: 4.784 4.784 4.784 Å, 60.00 60.00 60.00°
Fractional coordinates of all 4 atoms:
Sn: 0.000 0.000 0.000
Pa: 0.500 0.500 0.500
Rh: 0.750 0.750 0.750
Mo: 0.250 0.250 0.250

Results
The formation energy is -0.28 eV/atom.

***

No. 13
AsBr2: optimized geometry, GGA-PBE.

Cell: 9.045 9.045 6.336 Å, 90.00 90.00 155.85°
Fractional coordinates of all 6 atoms:
Br: 0.203 0.797 0.750
Br: 0.418 0.582 0.750
Br: 0.582 0.418 0.250
Br: 0.797 0.203 0.250
As: 0.187 0.813 0.250
As: 0.813 0.187 0.750

Results
The value obtained for the uncorrected formation energy is -117 meV/atom. For the excess energy over the best structure of this formula in the dataset, the calculation gives 158.7 meV per atom.

***

No. 14
Li4La3Sn4: optimized geometry, GGA-PBE.

Cell: 3.876 4.889 15.213 Å, 80.71 82.68 90.01°
Fractional coordinates of all 11 atoms:
La: 0.857 0.357 0.285
La: 0.000 0.000 0.000
La: 0.143 0.643 0.715
Li: 0.406 0.906 0.187
Li: 0.594 0.094 0.813
Li: 0.257 0.256 0.487
Li: 0.743 0.744 0.513
Sn: 0.314 0.814 0.372
Sn: 0.550 0.550 0.900
Sn: 0.686 0.186 0.628
Sn: 0.450 0.450 0.100

Results
For the excess energy over the best structure of this formula in the dataset, the calculation gives 97.4 meV per atom. The formation energy is -0.58 eV/atom.

***

No. 15
NaPm2P3Pd4: optimized geometry, GGA-PBE.

Cell: 4.160 4.160 10.542 Å, 90.00 90.00 90.00°
Fractional coordinates of all 10 atoms:
P: 0.000 0.500 0.134
P: 0.000 0.000 0.500
P: 0.500 0.000 0.866
Pm: 0.500 0.000 0.228
Pm: 0.000 0.500 0.772
Pd: 0.000 0.500 0.355
Pd: 0.500 0.500 0.000
Pd: 0.000 0.000 0.000
Pd: 0.500 0.000 0.645
Na: 0.500 0.500 0.500

Results
The formation energy is -0.83 eV/atom.

***

No. 16
TlTcSb2: optimized geometry, GGA-PBE.

Cell: 10.345 10.345 10.345 Å, 18.79 18.79 18.79°
Fractional coordinates of all 4 atoms:
Sb: 0.521 0.521 0.521
Sb: 0.979 0.979 0.979
Tl: 0.750 0.750 0.750
Tc: 0.250 0.250 0.250

Results
The value obtained for the uncorrected formation energy is 69 meV/atom. For the excess energy over the best structure of this formula in the dataset, the calculation gives 54.2 meV per atom.

***

No. 17
Li2DyGaSe4: optimized geometry, GGA-PBE.

Cell: 7.899 7.899 8.079 Å, 120.76 120.76 90.26°
Fractional coordinates of all 16 atoms:
Li: 0.000 0.000 0.500
Li: 0.500 0.000 0.500
Li: 0.500 0.000 0.000
Li: 0.500 0.500 0.000
Se: 0.743 0.756 0.528
Se: 0.744 0.757 0.972
Se: 0.748 0.237 0.492
Se: 0.252 0.763 0.508
Se: 0.737 0.248 0.992
Se: 0.263 0.752 0.008
Se: 0.257 0.244 0.472
Se: 0.256 0.243 0.028
Dy: 0.000 0.500 0.500
Dy: 0.000 0.500 0.000
Ga: 0.500 0.500 0.500
Ga: 0.000 0.000 0.000

Results
The value obtained for the uncorrected formation energy is -1179 meV/atom.

***

No. 18
Hf2ScPb2: optimized geometry, GGA-PBE.

Cell: 7.771 7.771 3.946 Å, 90.00 90.00 90.00°
Fractional coordinates of all 10 atoms:
Pb: 0.854 0.646 0.000
Pb: 0.146 0.354 0.000
Pb: 0.354 0.854 0.000
Pb: 0.646 0.146 0.000
Sc: 0.000 0.000 0.000
Sc: 0.500 0.500 0.000
Hf: 0.345 0.155 0.500
Hf: 0.845 0.345 0.500
Hf: 0.155 0.655 0.500
Hf: 0.655 0.845 0.500

Results
For the excess energy over the best structure of this formula in the dataset, the calculation gives 0.0 meV per atom. The formation energy is -0.03 eV/atom.

***

No. 19
LaHoTm2Sc: optimized geometry, GGA-PBE.

Cell: 5.429 8.339 7.075 Å, 90.02 90.00 90.00°
Fractional coordinates of all 10 atoms:
La: 0.000 0.000 0.000
La: 0.000 0.000 0.500
Tm: 0.500 0.314 0.500
Tm: 0.500 0.314 0.000
Tm: 0.500 0.686 0.500
Tm: 0.500 0.686 0.000
Ho: 0.000 0.500 0.750
Ho: 0.000 0.500 0.250
Sc: 0.500 0.000 0.250
Sc: 0.500 0.000 0.750

Results
The formation energy is 0.21 eV/atom.

***

No. 20
Pu3ZnRh3: optimized geometry, GGA-PBE.

Cell: 4.281 5.456 13.284 Å, 90.00 90.00 113.10°
Each line ends with the local moment (μB).
Fractional coordinates of all 14 atoms:
Pu: 0.803 0.606 0.395  5.17
Pu: 0.803 0.606 0.105  5.17
Pu: 0.197 0.394 0.605  5.17
Pu: 0.197 0.394 0.895  5.17
Pu: 0.528 0.057 0.250  5.25
Pu: 0.472 0.943 0.750  5.25
Rh: 0.910 0.819 0.589  -0.25
Rh: 0.259 0.519 0.250  -0.30
Rh: 0.090 0.181 0.089  -0.25
Rh: 0.910 0.819 0.911  -0.25
Rh: 0.741 0.481 0.750  -0.30
Rh: 0.090 0.181 0.411  -0.25
Zn: 0.500 0.000 0.500  0.03
Zn: 0.500 0.000 0.000  0.03

Results
The formation energy is -0.45 eV/atom.

***

No. 21
K2Na6Sr: optimized geometry, GGA-PBE.

Cell: 4.132 10.832 10.823 Å, 120.03 90.04 90.00°
Fractional coordinates of all 9 atoms:
Na: 0.504 0.001 0.326
Na: 0.496 0.999 0.674
Na: 0.500 0.675 0.000
Na: 0.496 0.675 0.674
Na: 0.500 0.325 0.000
Na: 0.504 0.325 0.326
K: 0.999 0.666 0.332
K: 0.001 0.334 0.668
Sr: 0.000 0.000 0.000

Results
The formation energy is 0.03 eV/atom.

***

No. 22
CsCrCoCl6: optimized geometry, GGA-PBE.

Cell: 6.305 6.298 7.864 Å, 89.82 89.61 59.96°
Each line ends with the local moment (μB).
Fractional coordinates of all 9 atoms:
Cl: 0.990 0.375 0.328  0.07
Cl: 0.627 0.991 0.326  0.07
Cl: 0.378 0.632 0.329  0.08
Cl: 0.381 0.991 0.674  0.07
Cl: 0.990 0.632 0.671  0.08
Cl: 0.634 0.375 0.672  0.07
Cr: 0.666 0.667 0.500  -2.85
Co: 0.331 0.337 0.500  2.48
Cs: 0.000 0.999 0.000  0.00

Results
The value obtained for the uncorrected formation energy is -1138 meV/atom.

***

No. 23
Ba2MgCdRh: optimized geometry, GGA-PBE.

Cell: 5.965 5.965 5.340 Å, 90.00 90.00 90.00°
Fractional coordinates of all 5 atoms:
Cd: 0.000 0.000 0.500
Rh: 0.000 0.000 0.000
Ba: 0.500 0.000 0.000
Ba: 0.000 0.500 0.000
Mg: 0.500 0.500 0.500

Results
For the excess energy over the best structure of this formula in the dataset, the calculation gives 100.3 meV per atom. The formation energy is -0.08 eV/atom.

***

No. 24
Y2PdPb: optimized geometry, GGA-PBE.

Cell: 3.908 3.908 8.679 Å, 76.99 76.99 60.00°
Fractional coordinates of all 4 atoms:
Y: 0.736 0.736 0.793
Y: 0.264 0.264 0.207
Pb: 0.500 0.500 0.500
Pd: 0.000 0.000 0.000

Results
The formation energy is -0.54 eV/atom.

***

No. 25
K2SmSi2O6: optimized geometry, GGA-PBE.

Cell: 5.934 5.931 6.957 Å, 116.63 90.00 120.02°
Each line ends with the local moment (μB).
Fractional coordinates of all 11 atoms:
O: 0.249 0.036 0.758  0.06
O: 0.787 0.036 0.758  0.06
O: 0.764 0.528 0.682  0.06
O: 0.213 0.964 0.242  0.06
O: 0.236 0.472 0.318  0.06
O: 0.751 0.964 0.242  0.06
Si: 0.055 0.109 0.214  0.08
Si: 0.945 0.891 0.786  0.08
K: 0.293 0.586 0.841  0.00
K: 0.707 0.414 0.159  0.00
Sm: 0.500 0.000 0.500  0.04

Results
The value obtained for the uncorrected formation energy is -2530 meV/atom.